1.
Here is a relaxed structure of SrCa2Hg from the Alexandria database. Energies are from GGA-PBE.

Properties
The crystal system is trigonal. Its formation energy is -0.20 eV per atom. The volume comes out at 159.5 Å³/f.u. Its total energy is -1.699 eV/atom.

Structure (CIF):
```
data_SrCa2Hg
_symmetry_space_group_name_H-M 'R 3 m'
_symmetry_Int_Tables_number 160
_symmetry_space_group_name_Hall 'R 3 -2"'
_cell_length_a 4.0989
_cell_length_b 4.0989
_cell_length_c 32.8891
_cell_angle_alpha 90.00
_cell_angle_beta 90.00
_cell_angle_gamma 120.00
loop_
_atom_site_label
_atom_site_type_symbol
_atom_site_fract_x
_atom_site_fract_y
_atom_site_fract_z
_atom_site_occupancy
Sr1 Sr 0.0000 0.0000 0.0000 1
Ca1 Ca 0.0000 0.0000 0.2305 1
Ca2 Ca 0.0000 0.0000 0.4361 1
Hg1 Hg 0.0000 0.0000 0.8333 1
```

2.
Here is a relaxed structure of Sr2CaHg from the Alexandria database. Energies are from GGA-PBE.

Properties
The crystal system is trigonal. Its formation energy is -0.18 eV per atom. The volume comes out at 174.5 Å³/f.u. Its total energy is -1.597 eV/atom.

Structure (CIF):
```
data_Sr2CaHg
_symmetry_space_group_name_H-M 'R 3 m'
_symmetry_Int_Tables_number 160
_symmetry_space_group_name_Hall 'R 3 -2"'
_cell_length_a 4.2352
_cell_length_b 4.2352
_cell_length_c 33.6946
_cell_angle_alpha 90.00
_cell_angle_beta 90.00
_cell_angle_gamma 120.00
loop_
_atom_site_label
_atom_site_type_symbol
_atom_site_fract_x
_atom_site_fract_y
_atom_site_fract_z
_atom_site_occupancy
Sr1 Sr 0.0000 0.0000 0.0000 1
Sr2 Sr 0.0000 0.0000 0.1986 1
Ca1 Ca 0.0000 0.0000 0.4330 1
Hg1 Hg 0.0000 0.0000 0.5993 1
```

3.
Here is a relaxed structure of Sr4CaHg2 from the Alexandria database. Energies are from GGA-PBE.

Properties
The crystal system is trigonal. Its formation energy is -0.20 eV per atom. The volume comes out at 301.0 Å³/f.u. Its total energy is -1.530 eV/atom.

Structure (CIF):
```
data_Sr4CaHg2
_symmetry_space_group_name_H-M 'R -3 m'
_symmetry_Int_Tables_number 166
_symmetry_space_group_name_Hall '-R 3 2"'
_cell_length_a 5.8326
_cell_length_b 5.8326
_cell_length_c 30.6458
_cell_angle_alpha 90.00
_cell_angle_beta 90.00
_cell_angle_gamma 120.00
loop_
_atom_site_label
_atom_site_type_symbol
_atom_site_fract_x
_atom_site_fract_y
_atom_site_fract_z
_atom_site_occupancy
Sr1 Sr 0.0000 0.0000 0.1055 1
Sr2 Sr 0.0000 0.0000 0.2934 1
Ca1 Ca 0.0000 0.0000 0.5000 1
Hg1 Hg 0.0000 0.0000 0.4017 1
```

4.
Here is a relaxed structure of SrCa2Hg6 from the Alexandria database. Energies are from GGA-PBE.

Properties
The crystal system is hexagonal. Its formation energy is -0.46 eV per atom. The volume comes out at 244.1 Å³/f.u. Its total energy is -1.289 eV/atom.

Structure (CIF):
```
data_SrCa2Hg6
_symmetry_space_group_name_H-M 'P 6/m m m'
_symmetry_Int_Tables_number 191
_symmetry_space_group_name_Hall '-P 6 2'
_cell_length_a 8.7461
_cell_length_b 8.7461
_cell_length_c 3.6843
_cell_angle_alpha 90.00
_cell_angle_beta 90.00
_cell_angle_gamma 120.00
loop_
_atom_site_label
_atom_site_type_symbol
_atom_site_fract_x
_atom_site_fract_y
_atom_site_fract_z
_atom_site_occupancy
Sr1 Sr 0.0000 0.0000 0.0000 1
Ca1 Ca 0.3333 0.6667 0.0000 1
Hg1 Hg 0.0000 0.3356 0.5000 1
```

5.
Here is a relaxed structure of SrCa2Hg9 from the Alexandria database. Energies are from GGA-PBE.

Properties
The crystal system is tetragonal. Its formation energy is -0.39 eV per atom. The volume comes out at 321.5 Å³/f.u. Its total energy is -1.085 eV/atom.

Structure (CIF):
```
data_SrCa2Hg9
_symmetry_space_group_name_H-M 'P 4/m m m'
_symmetry_Int_Tables_number 123
_symmetry_space_group_name_Hall '-P 4 2'
_cell_length_a 4.7534
_cell_length_b 4.7534
_cell_length_c 14.2305
_cell_angle_alpha 90.00
_cell_angle_beta 90.00
_cell_angle_gamma 90.00
loop_
_atom_site_label
_atom_site_type_symbol
_atom_site_fract_x
_atom_site_fract_y
_atom_site_fract_z
_atom_site_occupancy
Sr1 Sr 0.0000 0.0000 0.0000 1
Ca1 Ca 0.0000 0.0000 0.3373 1
Hg1 Hg 0.0000 0.5000 0.1741 1
Hg2 Hg 0.0000 0.5000 0.5000 1
Hg3 Hg 0.5000 0.5000 0.0000 1
Hg4 Hg 0.5000 0.5000 0.3384 1
```

6.
Here is a relaxed structure of Sr3CaHg2 from the Alexandria database. Energies are from GGA-PBE.

Properties
The crystal system is tetragonal. Its formation energy is -0.36 eV per atom. The volume comes out at 223.7 Å³/f.u. Its total energy is -1.634 eV/atom.

Structure (CIF):
```
data_Sr3CaHg2
_symmetry_space_group_name_H-M 'P 4/m m m'
_symmetry_Int_Tables_number 123
_symmetry_space_group_name_Hall '-P 4 2'
_cell_length_a 4.0340
_cell_length_b 4.0340
_cell_length_c 13.7447
_cell_angle_alpha 90.00
_cell_angle_beta 90.00
_cell_angle_gamma 90.00
loop_
_atom_site_label
_atom_site_type_symbol
_atom_site_fract_x
_atom_site_fract_y
_atom_site_fract_z
_atom_site_occupancy
Sr1 Sr 0.0000 0.0000 0.0000 1
Sr2 Sr 0.0000 0.0000 0.2844 1
Ca1 Ca 0.5000 0.5000 0.5000 1
Hg1 Hg 0.5000 0.5000 0.1496 1
```